1.
First-principles (PBE) data for an optimized crystal structure of La6PrNd4, as listed in Alexandria.

Mass density: 6.3 g/cm³
Formation energy: 0.119 eV per atom

Unit cell a=11.2944 b=11.2944 c=3.6803 alpha=90.00 beta=90.00 gamma=120.00
With the nearest neighbours (Å) after each atom.
Fractional coordinates of all 11 atoms:
La1 0.1848 0.3695 0.0000  4 Nd 3.40-3.44, 2 La 3.68
La2 0.1848 0.8152 0.0000  4 Nd 3.40-3.44, 2 La 3.68
La3 0.5324 0.0649 0.5000  5 Nd 3.59-3.90, 6 La 3.68-3.96
La4 0.5324 0.4676 0.5000  5 Nd 3.59-3.90, 6 La 3.68-3.96
La5 0.6305 0.8152 0.0000  4 Nd 3.40-3.44, 2 La 3.68
La6 0.9351 0.4676 0.5000  5 Nd 3.59-3.90, 6 La 3.68-3.96
Pr1 0.0000 0.0000 0.5000  6 Nd 3.63, 2 Pr 3.68, 6 La 4.06
Nd1 0.3204 0.1602 0.0000  6 La 3.40-3.59, 2 Pr 3.63, 2 Nd 3.68
Nd2 0.3333 0.6667 0.5000  6 La 3.44, 2 Nd 3.68
Nd3 0.8398 0.1602 0.0000  6 La 3.40-3.59, 2 Pr 3.63, 2 Nd 3.68
Nd4 0.8398 0.6796 0.0000  6 La 3.40-3.59, 2 Pr 3.63, 2 Nd 3.68


2.
First-principles (PBE) data for an optimized crystal structure of La6Pr16Nd7, as listed in Alexandria.

Mass density: 6.3 g/cm³
Formation energy: 0.185 eV per atom

Unit cell a=11.5252 b=11.5252 c=11.5252 alpha=60.00 beta=60.00 gamma=60.00
With the nearest neighbours (Å) after each atom.
Fractional coordinates of all 29 atoms:
La1 0.2146 0.2146 0.7854  8 Pr 3.69-3.89, 4 Nd 4.12
La2 0.2146 0.7854 0.2146  8 Pr 3.69-3.89, 4 Nd 4.12
La3 0.2146 0.7854 0.7854  8 Pr 3.69-3.89, 4 Nd 4.12
La4 0.7854 0.2146 0.2146  8 Pr 3.69-3.89, 4 Nd 4.12
La5 0.7854 0.2146 0.7854  8 Pr 3.69-3.89, 4 Nd 4.12
La6 0.7854 0.7854 0.2146  8 Pr 3.69-3.89, 4 Nd 4.12
Pr1 0.1267 0.6244 0.6244  4 Nd 3.51-3.53, 3 Pr 3.67, 3 La 3.89
Pr2 0.1545 0.1545 0.1545  3 Nd 3.34, 3 Pr 3.67, 3 La 3.69
Pr3 0.1545 0.1545 0.5366  3 Nd 3.34, 3 Pr 3.67, 3 La 3.69
Pr4 0.1545 0.5366 0.1545  3 Nd 3.34, 3 Pr 3.67, 3 La 3.69
Pr5 0.3756 0.3756 0.3756  4 Nd 3.51-3.53, 3 Pr 3.67, 3 La 3.89
Pr6 0.3756 0.3756 0.8733  4 Nd 3.51-3.53, 3 Pr 3.67, 3 La 3.89
Pr7 0.3756 0.8733 0.3756  4 Nd 3.51-3.53, 3 Pr 3.67, 3 La 3.89
Pr8 0.4634 0.8455 0.8455  3 Nd 3.34, 3 Pr 3.67, 3 La 3.69
Pr9 0.5366 0.1545 0.1545  3 Nd 3.34, 3 Pr 3.67, 3 La 3.69
Pr10 0.6244 0.1267 0.6244  4 Nd 3.51-3.53, 3 Pr 3.67, 3 La 3.89
Pr11 0.6244 0.6244 0.1267  4 Nd 3.51-3.53, 3 Pr 3.67, 3 La 3.89
Pr12 0.6244 0.6244 0.6244  4 Nd 3.51-3.53, 3 Pr 3.67, 3 La 3.89
Pr13 0.8455 0.4634 0.8455  3 Nd 3.34, 3 Pr 3.67, 3 La 3.69
Pr14 0.8455 0.8455 0.4634  3 Nd 3.34, 3 Pr 3.67, 3 La 3.69
Pr15 0.8455 0.8455 0.8455  3 Nd 3.34, 3 Pr 3.67, 3 La 3.69
Pr16 0.8733 0.3756 0.3756  4 Nd 3.51-3.53, 3 Pr 3.67, 3 La 3.89
Nd1 0.0000 0.0000 0.5000  8 Pr 3.34-3.53
Nd2 0.0000 0.5000 0.0000  8 Pr 3.34-3.53
Nd3 0.0000 0.5000 0.5000  8 Pr 3.34-3.53
Nd4 0.5000 0.0000 0.0000  8 Pr 3.34-3.53
Nd5 0.5000 0.0000 0.5000  8 Pr 3.34-3.53
Nd6 0.5000 0.5000 0.0000  8 Pr 3.34-3.53
Nd7 0.5000 0.5000 0.5000  8 Pr 3.51


3.
First-principles (PBE) data for an optimized crystal structure of La2Pr7Nd3, as listed in Alexandria.

Mass density: 6.5 g/cm³
Formation energy: 0.063 eV per atom

Unit cell a=6.6122 b=3.6453 c=18.1962 alpha=90.00 beta=96.20 gamma=90.00
With the nearest neighbours (Å) after each atom.
Fractional coordinates of all 12 atoms:
La1 0.0576 0.0000 0.1693  5 Pr 3.50-3.69, 2 La 3.65, 4 Nd 3.73-3.83
La2 0.9424 0.0000 0.8307  5 Pr 3.50-3.69, 2 La 3.65, 4 Nd 3.73-3.83
Pr1 0.0000 0.5000 0.5000  8 Pr 3.65-3.72, 4 Nd 3.78
Pr2 0.2271 0.0000 0.6674  8 Pr 3.65-3.78, 1 La 3.69, 3 Nd 3.70-3.79
Pr3 0.2569 0.0000 0.9982  2 Pr 3.21-3.40, 2 La 3.50-3.51
Pr4 0.2749 0.5000 0.3349  7 Pr 3.65-3.78, 2 La 3.68, 3 Nd 3.69-3.81
Pr5 0.7251 0.5000 0.6651  7 Pr 3.65-3.78, 2 La 3.68, 3 Nd 3.69-3.81
Pr6 0.7431 0.0000 0.0018  2 Pr 3.21-3.40, 2 La 3.50-3.51
Pr7 0.7729 0.0000 0.3326  8 Pr 3.65-3.78, 1 La 3.69, 3 Nd 3.70-3.79
Nd1 0.4535 0.5000 0.8395  2 Nd 3.65, 4 La 3.73-3.83, 7 Pr 3.76-3.81
Nd2 0.5000 0.0000 0.5000  2 Nd 3.65, 10 Pr 3.69-3.78
Nd3 0.5465 0.5000 0.1605  2 Nd 3.65, 4 La 3.73-3.83, 7 Pr 3.76-3.81


4.
First-principles (PBE) data for an optimized crystal structure of LaPr2Nd2, as listed in Alexandria.

Mass density: 6.2 g/cm³
Formation energy: 0.272 eV per atom

Unit cell a=9.1082 b=9.1082 c=6.4869 alpha=90.00 beta=90.00 gamma=135.22
With the nearest neighbours (Å) after each atom.
Fractional coordinates of all 10 atoms:
La1 0.0000 0.0000 0.0000  2 La 3.24, 2 Pr 3.28
La2 0.0000 0.0000 0.5000  2 La 3.24, 2 Pr 3.28
Pr1 0.1696 0.8304 0.7500  2 Nd 3.24, 2 La 3.28
Pr2 0.3976 0.6024 0.2500  2 Pr 3.65, 4 Nd 3.88
Pr3 0.6024 0.3976 0.7500  2 Pr 3.65, 4 Nd 3.88
Pr4 0.8304 0.1696 0.2500  2 Nd 3.24, 2 La 3.28
Nd1 0.0697 0.4110 0.7500  1 Pr 3.24, 2 Nd 3.34-3.60
Nd2 0.4110 0.0697 0.2500  1 Pr 3.24, 2 Nd 3.34-3.60
Nd3 0.5890 0.9303 0.7500  1 Pr 3.24, 2 Nd 3.34-3.60
Nd4 0.9303 0.5890 0.2500  1 Pr 3.24, 2 Nd 3.34-3.60


5.
First-principles (PBE) data for an optimized crystal structure of La15Pr4Nd, as listed in Alexandria.

Mass density: 6.4 g/cm³
Formation energy: 0.008 eV per atom

Unit cell a=5.2525 b=5.2525 c=26.4089 alpha=90.00 beta=90.00 gamma=90.00
With the nearest neighbours (Å) after each atom.
Fractional coordinates of all 20 atoms:
La1 0.0000 0.0000 0.0000  4 Nd 3.71, 8 La 3.72
La2 0.0000 0.0000 0.1999  4 Pr 3.71, 8 La 3.73
La3 0.0000 0.0000 0.4000  4 Pr 3.71, 8 La 3.72-3.73
La4 0.0000 0.0000 0.6000  4 Pr 3.71, 8 La 3.72-3.73
La5 0.0000 0.0000 0.8001  4 Pr 3.71, 8 La 3.73
La6 0.0000 0.5000 0.0998  8 La 3.71-3.73, 2 Nd 3.72, 2 Pr 3.73
La7 0.0000 0.5000 0.3000  8 La 3.71-3.73, 4 Pr 3.72-3.73
La8 0.0000 0.5000 0.5000  8 La 3.71-3.72, 4 Pr 3.72
La9 0.0000 0.5000 0.7000  8 La 3.71-3.73, 4 Pr 3.72-3.73
La10 0.0000 0.5000 0.9002  8 La 3.71-3.73, 2 Nd 3.72, 2 Pr 3.73
La11 0.5000 0.0000 0.0998  8 La 3.71-3.73, 2 Nd 3.72, 2 Pr 3.73
La12 0.5000 0.0000 0.3000  8 La 3.71-3.73, 4 Pr 3.72-3.73
La13 0.5000 0.0000 0.5000  8 La 3.71-3.72, 4 Pr 3.72
La14 0.5000 0.0000 0.7000  8 La 3.71-3.73, 4 Pr 3.72-3.73
La15 0.5000 0.0000 0.9002  8 La 3.71-3.73, 2 Nd 3.72, 2 Pr 3.73
Pr1 0.5000 0.5000 0.1999  12 La 3.71-3.73
Pr2 0.5000 0.5000 0.4000  12 La 3.71-3.72
Pr3 0.5000 0.5000 0.6000  12 La 3.71-3.72
Pr4 0.5000 0.5000 0.8001  12 La 3.71-3.73
Nd1 0.5000 0.5000 0.0000  12 La 3.71-3.72


6.
First-principles (PBE) data for an optimized crystal structure of La4Pr2Nd, as listed in Alexandria.

Mass density: 6.3 g/cm³
Formation energy: 0.185 eV per atom

Unit cell a=9.2799 b=9.2799 c=9.2799 alpha=135.60 beta=100.76 gamma=95.68
With the nearest neighbours (Å) after each atom.
Fractional coordinates of all 14 atoms:
La1 0.1456 0.1448 0.0007  1 Pr 3.41, 5 La 3.61-3.82, 2 Nd 3.67
La2 0.2444 0.2130 0.4686  1 La 3.07, 1 Nd 3.19, 1 Pr 3.32
La3 0.2444 0.7759 0.0314  1 La 3.07, 1 Nd 3.19, 1 Pr 3.32
La4 0.3559 0.8552 0.5007  1 Pr 3.41, 5 La 3.61-3.82, 2 Nd 3.67
La5 0.6441 0.1448 0.4993  1 Pr 3.41, 5 La 3.61-3.82, 2 Nd 3.67
La6 0.7556 0.2241 0.9686  1 La 3.07, 1 Nd 3.19, 1 Pr 3.32
La7 0.7556 0.7870 0.5314  1 La 3.07, 1 Nd 3.19, 1 Pr 3.32
La8 0.8544 0.8552 0.9993  1 Pr 3.41, 5 La 3.61-3.82, 2 Nd 3.67
Pr1 0.0000 0.5000 0.5000  8 La 3.56-3.94
Pr2 0.0299 0.2799 0.7500  4 La 3.32-3.41, 2 Pr 3.58
Pr3 0.5000 0.5000 0.0000  8 La 3.56-3.94
Pr4 0.9701 0.7201 0.2500  4 La 3.32-3.41, 2 Pr 3.58
Nd1 0.5000 0.0000 0.0000  2 La 3.19, 2 Nd 3.51
Nd2 0.5000 0.5000 0.5000  2 La 3.19, 2 Nd 3.51


7.
First-principles (PBE) data for an optimized crystal structure of La5PrNd3, as listed in Alexandria.

Mass density: 6.3 g/cm³
Formation energy: 0.228 eV per atom

Unit cell a=10.9778 b=10.9778 c=11.8413 alpha=120.92 beta=120.92 gamma=34.00
With the nearest neighbours (Å) after each atom.
Fractional coordinates of all 18 atoms:
La1 0.0464 0.6707 0.3436  2 Nd 3.22-3.53
La2 0.0872 0.9128 0.7500  2 Pr 3.06-3.36
La3 0.1238 0.5192 0.6617  5 La 3.43-3.76, 2 Nd 3.58-3.72
La4 0.3293 0.9536 0.1564  2 Nd 3.22-3.53
La5 0.4808 0.8762 0.8383  5 La 3.43-3.76, 2 Nd 3.58-3.72
La6 0.5192 0.1238 0.1617  5 La 3.43-3.76, 2 Nd 3.58-3.72
La7 0.6707 0.0464 0.8436  2 Nd 3.22-3.53
La8 0.8762 0.4808 0.3383  5 La 3.43-3.76, 2 Nd 3.58-3.72
La9 0.9127 0.0873 0.2500  2 Pr 3.06-3.36
La10 0.9536 0.3293 0.6564  2 Nd 3.22-3.53
Pr1 0.3890 0.6110 0.2500  2 Nd 3.04, 2 La 3.06-3.36
Pr2 0.6110 0.3890 0.7500  2 Nd 3.04, 2 La 3.06-3.36
Nd1 0.0816 0.5646 0.9764  1 Nd 3.40, 1 Pr 3.47, 4 La 3.53-3.72
Nd2 0.4354 0.9184 0.5236  1 Nd 3.40, 1 Pr 3.47, 4 La 3.53-3.72
Nd3 0.5000 0.5000 0.0000  2 Pr 3.04, 2 La 3.22
Nd4 0.5000 0.5000 0.5000  2 Pr 3.04, 2 La 3.22
Nd5 0.5646 0.0816 0.4764  1 Nd 3.40, 1 Pr 3.47, 4 La 3.53-3.72
Nd6 0.9184 0.4354 0.0236  1 Nd 3.40, 1 Pr 3.47, 4 La 3.53-3.72


8.
First-principles (PBE) data for an optimized crystal structure of LaPr2Nd2, as listed in Alexandria.

Mass density: 6.5 g/cm³
Formation energy: 0.109 eV per atom

Unit cell a=6.4657 b=6.4657 c=9.5446 alpha=106.77 beta=106.77 gamma=78.10
With the nearest neighbours (Å) after each atom.
Fractional coordinates of all 10 atoms:
La1 0.2220 0.7780 0.7500  4 Nd 3.55-3.95, 6 Pr 3.56-3.71
La2 0.7780 0.2220 0.2500  4 Nd 3.55-3.95, 6 Pr 3.56-3.71
Pr1 0.0502 0.7162 0.3528  5 Nd 3.41-3.73, 3 La 3.56-3.71, 1 Pr 3.57
Pr2 0.2838 0.9498 0.1472  5 Nd 3.41-3.73, 3 La 3.56-3.71, 1 Pr 3.57
Pr3 0.7162 0.0502 0.8528  5 Nd 3.41-3.73, 3 La 3.56-3.71, 1 Pr 3.57
Pr4 0.9498 0.2838 0.6472  5 Nd 3.41-3.73, 3 La 3.56-3.71, 1 Pr 3.57
Nd1 0.2717 0.4005 0.0212  5 Pr 3.41-3.73, 2 Nd 3.43-3.62, 1 La 3.55
Nd2 0.4005 0.2717 0.5212  5 Pr 3.41-3.73, 2 Nd 3.43-3.62, 1 La 3.55
Nd3 0.5995 0.7283 0.4788  5 Pr 3.41-3.73, 2 Nd 3.43-3.62, 1 La 3.55
Nd4 0.7283 0.5995 0.9788  5 Pr 3.41-3.73, 2 Nd 3.43-3.62, 1 La 3.55


9.
First-principles (PBE) data for an optimized crystal structure of La2Pr3Nd4, as listed in Alexandria.

Mass density: 6.5 g/cm³
Formation energy: 0.059 eV per atom

Unit cell a=3.6956 b=3.6956 c=27.7362 alpha=90.00 beta=90.00 gamma=120.00
With the nearest neighbours (Å) after each atom.
Fractional coordinates of all 9 atoms:
La1 0.0000 0.0000 0.0000  6 La 3.70, 3 Nd 3.72, 3 Pr 3.80
La2 0.0000 0.0000 0.2217  1 Nd 3.46, 3 Pr 3.68, 6 La 3.70
Pr1 0.0000 0.0000 0.7816  6 Nd 3.69-3.73, 6 Pr 3.70
Pr2 0.3333 0.6667 0.1134  6 La 3.68-3.80, 6 Pr 3.70
Pr3 0.3333 0.6667 0.4521  6 Nd 3.62-3.78, 6 Pr 3.70
Nd1 0.0000 0.0000 0.3465  1 La 3.46, 3 Pr 3.62, 6 Nd 3.70
Nd2 0.0000 0.0000 0.5646  9 Nd 3.65-3.70, 3 Pr 3.78
Nd3 0.3333 0.6667 0.6714  9 Nd 3.65-3.70, 3 Pr 3.73
Nd4 0.3333 0.6667 0.8902  3 Pr 3.69, 6 Nd 3.70, 3 La 3.72